Material: Ac8Ge5Au
Method: DFT, PBE
State: optimized geometry

Computed properties:
DFT total energy: -137.6 eV for the cell shown
Calculated density: 8.497 g/cm³

Cell lengths 9.710, 9.710, 9.850 Å; angles 90.00, 90.00, 90.00 degrees
Space group I-4 (No. 82)
Unique sites:
Ac (0.066, 0.316, 0.440) (multiplicity 8)
Ac (0.068, 0.187, 0.814) (multiplicity 8)
Ge (0.000, 0.500, 0.750) (multiplicity 2)
Ge (0.123, 0.250, 0.126) (multiplicity 8)
Au (0.000, 0.000, 0.500) (multiplicity 2)